# ScZnInSe3, optimized geometry, DFT GGA-PBE
data_ScZnInSe3
_cell_length_a 10.456
_cell_length_b 3.959
_cell_length_c 14.541
_cell_angle_alpha 90.00
_cell_angle_beta 90.00
_cell_angle_gamma 90.00
_symmetry_space_group_name_H-M 'P n m a'
_symmetry_Int_Tables_number 62
_symmetry_space_group_name_Hall '-P 2ac 2n'
loop_
_atom_site_label
_atom_site_fract_x
_atom_site_fract_y
_atom_site_fract_z
_atom_site_occupancy
Sc1 0.008 0.250 0.249 1
Zn1 0.244 0.250 0.712 1
In1 0.241 0.750 0.501 1
Se1 0.044 0.250 0.624 1
Se2 0.059 0.750 0.123 1
Se3 0.243 0.750 0.818 1
# Distance to the lowest polymorph of the same formula ... 0 meV per atom

# ScZnInSe3, optimized geometry, DFT GGA-PBE
data_ScZnInSe3
_cell_length_a 10.003
_cell_length_b 3.990
_cell_length_c 15.111
_cell_angle_alpha 90.00
_cell_angle_beta 90.00
_cell_angle_gamma 90.00
_symmetry_space_group_name_H-M 'P n m a'
_symmetry_Int_Tables_number 62
_symmetry_space_group_name_Hall '-P 2ac 2n'
loop_
_atom_site_label
_atom_site_fract_x
_atom_site_fract_y
_atom_site_fract_z
_atom_site_occupancy
Sc1 0.168 0.250 0.053 1
Zn1 0.179 0.750 0.863 1
In1 0.007 0.750 0.324 1
Se1 0.019 0.250 0.895 1
Se2 0.176 0.250 0.492 1
Se3 0.216 0.750 0.707 1
# Distance to the lowest polymorph of the same formula ... 67 meV per atom

# SmScIn, optimized geometry, DFT GGA-PBE
data_SmScIn
_cell_length_a 5.3094
_cell_length_b 5.3094
_cell_length_c 6.5627
_cell_angle_alpha 90.00
_cell_angle_beta 90.00
_cell_angle_gamma 120.00
_symmetry_space_group_name_H-M 'P 63/m m c'
_symmetry_Int_Tables_number 194
_symmetry_space_group_name_Hall '-P 6c 2c'
loop_
_atom_site_label
_atom_site_fract_x
_atom_site_fract_y
_atom_site_fract_z
_atom_site_occupancy
Sm1 0.3333 0.6667 0.2500 1
Sc1 0.0000 0.0000 0.0000 1
In1 0.3333 0.6667 0.7500 1
# Distance to the lowest polymorph of the same formula ... 32 meV per atom

# SmScIn, optimized geometry, DFT GGA-PBE
data_SmScIn
_cell_length_a 5.2323
_cell_length_b 5.2323
_cell_length_c 6.6977
_cell_angle_alpha 90.00
_cell_angle_beta 90.00
_cell_angle_gamma 120.00
_symmetry_space_group_name_H-M 'P 63/m m c'
_symmetry_Int_Tables_number 194
_symmetry_space_group_name_Hall '-P 6c 2c'
loop_
_atom_site_label
_atom_site_fract_x
_atom_site_fract_y
_atom_site_fract_z
_atom_site_occupancy
Sm1 0.0000 0.0000 0.0000 1
Sc1 0.3333 0.6667 0.2500 1
In1 0.3333 0.6667 0.7500 1
# Distance to the lowest polymorph of the same formula ... 0 meV per atom

# SmScIn, optimized geometry, DFT GGA-PBE
data_SmScIn
_cell_length_a 7.224
_cell_length_b 7.224
_cell_length_c 7.224
_cell_angle_alpha 90.00
_cell_angle_beta 90.00
_cell_angle_gamma 90.00
_symmetry_space_group_name_H-M 'F -4 3 m'
_symmetry_Int_Tables_number 216
_symmetry_space_group_name_Hall 'F -4 2 3'
loop_
_atom_site_label
_atom_site_fract_x
_atom_site_fract_y
_atom_site_fract_z
_atom_site_occupancy
Sm1 0.000 0.000 0.000 1
Sc1 0.250 0.250 0.250 1
In1 0.250 0.250 0.750 1
# Distance to the lowest polymorph of the same formula ... 765 meV per atom

# SmScIn, optimized geometry, DFT GGA-PBE
data_SmScIn
_cell_length_a 7.197
_cell_length_b 7.197
_cell_length_c 7.197
_cell_angle_alpha 90.00
_cell_angle_beta 90.00
_cell_angle_gamma 90.00
_symmetry_space_group_name_H-M 'F -4 3 m'
_symmetry_Int_Tables_number 216
_symmetry_space_group_name_Hall 'F -4 2 3'
loop_
_atom_site_label
_atom_site_fract_x
_atom_site_fract_y
_atom_site_fract_z
_atom_site_occupancy
Sm1 0.000 0.000 0.000 1
Sc1 0.000 0.000 0.500 1
In1 0.250 0.250 0.750 1
# Distance to the lowest polymorph of the same formula ... 300 meV per atom

Here is a relaxed structure of TbScIn4 from OQMD. Energies are from GGA-PBE.

```
data_TbScIn4
_cell_length_a 4.591
_cell_length_b 4.556
_cell_length_c 13.968
_cell_angle_alpha 90.00
_cell_angle_beta 90.00
_cell_angle_gamma 90.00
_symmetry_space_group_name_H-M 'A m m 2'
_symmetry_Int_Tables_number 38
_symmetry_space_group_name_Hall 'A 2 -2'
loop_
_atom_site_label
_atom_site_fract_x
_atom_site_fract_y
_atom_site_fract_z
_atom_site_occupancy
Tb1 0.000 0.000 0.000 1
Sc1 0.000 0.000 0.310 1
In1 0.000 0.000 0.661 1
In2 0.500 0.000 0.159 1
In3 0.500 0.000 0.475 1
In4 0.500 0.000 0.827 1
```

# TbScIn, optimized geometry, DFT GGA-PBE
data_TbScIn
_cell_length_a 5.1903
_cell_length_b 5.1903
_cell_length_c 6.6087
_cell_angle_alpha 90.00
_cell_angle_beta 90.00
_cell_angle_gamma 120.00
_symmetry_space_group_name_H-M 'P 63/m m c'
_symmetry_Int_Tables_number 194
_symmetry_space_group_name_Hall '-P 6c 2c'
loop_
_atom_site_label
_atom_site_fract_x
_atom_site_fract_y
_atom_site_fract_z
_atom_site_occupancy
Tb1 0.0000 0.0000 0.0000 1
Sc1 0.3333 0.6667 0.2500 1
In1 0.3333 0.6667 0.7500 1
# Distance to the lowest polymorph of the same formula ... 0 meV per atom

# TbScIn, optimized geometry, DFT GGA-PBE
data_TbScIn
_cell_length_a 7.120
_cell_length_b 7.120
_cell_length_c 7.120
_cell_angle_alpha 90.00
_cell_angle_beta 90.00
_cell_angle_gamma 90.00
_symmetry_space_group_name_H-M 'F -4 3 m'
_symmetry_Int_Tables_number 216
_symmetry_space_group_name_Hall 'F -4 2 3'
loop_
_atom_site_label
_atom_site_fract_x
_atom_site_fract_y
_atom_site_fract_z
_atom_site_occupancy
Tb1 0.000 0.000 0.000 1
Sc1 0.000 0.000 0.500 1
In1 0.250 0.250 0.750 1
# Distance to the lowest polymorph of the same formula ... 308 meV per atom

Here is a relaxed structure of TbSc4In from OQMD. Energies are from GGA-PBE.

```
data_TbSc4In
_cell_length_a 5.1285
_cell_length_b 5.1285
_cell_length_c 21.1390
_cell_angle_alpha 90.00
_cell_angle_beta 90.00
_cell_angle_gamma 120.00
_symmetry_space_group_name_H-M 'R -3 m'
_symmetry_Int_Tables_number 166
_symmetry_space_group_name_Hall '-R 3 2"'
loop_
_atom_site_label
_atom_site_fract_x
_atom_site_fract_y
_atom_site_fract_z
_atom_site_occupancy
Tb1 0.0000 0.0000 0.0000 1
Sc1 0.0000 0.0000 0.2163 1
Sc2 0.0000 0.0000 0.3658 1
In1 0.0000 0.0000 0.5000 1
```

# TmScIn, optimized geometry, DFT GGA-PBE
data_TmScIn
_cell_length_a 5.1509
_cell_length_b 5.1509
_cell_length_c 6.5129
_cell_angle_alpha 90.00
_cell_angle_beta 90.00
_cell_angle_gamma 120.00
_symmetry_space_group_name_H-M 'P 63/m m c'
_symmetry_Int_Tables_number 194
_symmetry_space_group_name_Hall '-P 6c 2c'
loop_
_atom_site_label
_atom_site_fract_x
_atom_site_fract_y
_atom_site_fract_z
_atom_site_occupancy
Tm1 0.0000 0.0000 0.0000 1
Sc1 0.3333 0.6667 0.2500 1
In1 0.3333 0.6667 0.7500 1
# Distance to the lowest polymorph of the same formula ... 0 meV per atom

# TmScIn, optimized geometry, DFT GGA-PBE
data_TmScIn
_cell_length_a 7.104
_cell_length_b 7.104
_cell_length_c 7.104
_cell_angle_alpha 90.00
_cell_angle_beta 90.00
_cell_angle_gamma 90.00
_symmetry_space_group_name_H-M 'F -4 3 m'
_symmetry_Int_Tables_number 216
_symmetry_space_group_name_Hall 'F -4 2 3'
loop_
_atom_site_label
_atom_site_fract_x
_atom_site_fract_y
_atom_site_fract_z
_atom_site_occupancy
Tm1 0.000 0.000 0.000 1
Sc1 0.250 0.250 0.250 1
In1 0.250 0.250 0.750 1
# Distance to the lowest polymorph of the same formula ... 781 meV per atom

Summary of E in eV for the cell shown
-106.95, -105.34, -29.54, -29.73, -50.29, -55.87, -48.70, -29.62, -55.55, -96.27, -29.28, -49.19
(order as listed above)